## Tm4TlIn2 (GGA-PBE)

Data for Tm4TlIn2 after structural relaxation.

* energy of formation from the pure elements: -0.2304 eV/atom
* volume: 28.4 Å³/atom
* relative energy among the computed polymorphs: 0 meV/atom
* total moment: 0.0000 μB/atom
* calculated total energy: -27.34 eV/f.u.
* SG: R-3m

Structure (POSCAR):
```
Tm4TlIn2
1.0
2.5959 1.4987 8.5168
-2.5959 1.4987 8.5168
0.0000 -2.9975 8.5168
Tm Tl In
4 1 2
Direct
0.1195 0.1195 0.1195
0.3722 0.3722 0.3722
0.6278 0.6278 0.6278
0.8805 0.8805 0.8805
0.5000 0.5000 0.5000
0.2523 0.2523 0.2523
0.7477 0.7477 0.7477
```

---

## ScTl2F (GGA-PBE)

Data for ScTl2F after structural relaxation.

* volume: 22.5 Å³/atom
* relative energy among the computed polymorphs: 471 meV/atom
* total moment: 0.0000 μB/atom
* calculated total energy: -14.76 eV/f.u.
* formation energy from raw total energies: -0.46 eV/atom
* SG: Fm-3m

Structure (POSCAR):
```
ScTl2F
1.0
0.0000 3.5587 3.5587
3.5587 0.0000 3.5587
3.5587 3.5587 0.0000
Sc Tl F
1 2 1
Direct
0.0000 0.0000 0.0000
0.2500 0.2500 0.2500
0.7500 0.7500 0.7500
0.5000 0.5000 0.5000
```

---

## Tb2NdEr6Sc (GGA-PBE)

Data for Tb2NdEr6Sc after structural relaxation.

* energy of formation from the pure elements: 0.1273 eV/atom
* volume: 31.0 Å³/atom
* total moment: 0.0002 μB/atom
* calculated total energy: -46.46 eV/f.u.
* SG: C2/c

Structure (POSCAR):
```
Tb2NdEr6Sc
1.0
4.5064 -7.3912 0.0000
4.5064 7.3912 0.0000
-1.1507 0.0000 9.3118
Tb Nd Er Sc
4 2 12 2
Direct
0.1941 0.2982 0.4513
0.2982 0.1941 0.9513
0.7018 0.8059 0.0487
0.8059 0.7018 0.5487
0.4768 0.5232 0.7500
0.5232 0.4768 0.2500
0.0089 0.7930 0.8849
0.0637 0.5077 0.6884
0.2070 0.9911 0.6151
0.2495 0.6271 0.0574
0.3729 0.7505 0.4426
0.4923 0.9363 0.8116
0.5077 0.0637 0.1884
0.6271 0.2495 0.5574
0.7505 0.3729 0.9426
0.7930 0.0089 0.3849
0.9363 0.4923 0.3116
0.9911 0.2070 0.1151
0.0871 0.9129 0.2500
0.9129 0.0871 0.7500
```

---

## Ac12Ni5Sn (GGA-PBE)

Data for Ac12Ni5Sn after structural relaxation.

* energy of formation from the pure elements: -0.2316 eV/atom
* volume: 33.3 Å³/atom
* total moment: 0.0000 μB/atom
* calculated total energy: -86.38 eV/f.u.
* SG: Immm

Structure (POSCAR):
```
Ac12Ni5Sn
1.0
-5.1567 5.3158 5.4719
5.1567 -5.3158 5.4719
5.1567 5.3158 -5.4719
Ac Ni Sn
12 5 1
Direct
0.0122 0.1970 0.8152
0.1821 0.3097 0.4918
0.1821 0.6903 0.8725
0.3244 0.0122 0.6878
0.3244 0.6366 0.3122
0.3818 0.1970 0.1848
0.6182 0.8030 0.8152
0.6756 0.3634 0.6878
0.6756 0.9878 0.3122
0.8179 0.3097 0.1275
0.8179 0.6903 0.5082
0.9878 0.8030 0.1848
0.0000 0.0000 0.0000
0.1195 0.6195 0.5000
0.3742 0.0000 0.3742
0.6258 0.0000 0.6258
0.8805 0.3805 0.5000
0.5000 0.5000 0.0000
```

---

## ThZnAgPb (GGA-PBE)

Data for ThZnAgPb after structural relaxation.

* energy of formation from the pure elements: -0.0827 eV/atom
* volume: 23.9 Å³/atom
* total moment: 0.0000 μB/atom
* calculated total energy: -15.58 eV/f.u.
* SG: F-43m

Structure (POSCAR):
```
ThZnAgPb
1.0
0.0000 3.6272 3.6272
3.6272 0.0000 3.6272
3.6272 3.6272 0.0000
Th Zn Ag Pb
1 1 1 1
Direct
0.0000 0.0000 0.0000
0.2500 0.2500 0.2500
0.7500 0.7500 0.7500
0.5000 0.5000 0.5000
```

---

## EuFeC (GGA-PBE)

Data for EuFeC after structural relaxation.

* energy of formation from the pure elements: 0.5818 eV/atom
* volume: 13.8 Å³/atom
* relative energy among the computed polymorphs: 366 meV/atom
* total moment: 1.7905 μB/atom
* calculated total energy: -26.22 eV/f.u.
* SG: I4mm

Structure (POSCAR):
```
EuFeC
1.0
-1.4384 1.4384 5.0080
1.4384 -1.4384 5.0080
1.4384 1.4384 -5.0080
Eu Fe C
1 1 1
Direct
0.0000 0.0000 0.0000
0.2689 0.2689 0.0000
0.7239 0.7239 0.0000
```

---

## B2PbBr (GGA-PBE)

Data for B2PbBr after structural relaxation.

* volume: 21.3 Å³/atom
* relative energy among the computed polymorphs: 0 meV/atom
* total moment: 0.0990 μB/atom
* calculated total energy: -12.99 eV/f.u.
* formation energy from raw total energies: 1.44 eV/atom
* SG: I-42d

Structure (POSCAR):
```
B2PbBr
1.0
-2.7158 2.7158 5.7667
2.7158 -2.7158 5.7667
2.7158 2.7158 -5.7667
B Pb Br
4 2 2
Direct
0.1145 0.6250 0.9895
0.3750 0.3645 0.4895
0.6355 0.1250 0.0105
0.8750 0.8855 0.5105
0.0000 0.0000 0.0000
0.7500 0.2500 0.5000
0.2500 0.7500 0.5000
0.5000 0.5000 0.0000
```

---

## RbNa2Au (GGA-PBE)

Data for RbNa2Au after structural relaxation.

* energy of formation from the pure elements: -0.1282 eV/atom
* volume: 37.6 Å³/atom
* relative energy among the computed polymorphs: 57 meV/atom
* total moment: 0.0000 μB/atom
* calculated total energy: -7.40 eV/f.u.
* SG: R-3m

Structure (POSCAR):
```
RbNa2Au
1.0
2.5705 1.4841 6.5792
-2.5705 1.4841 6.5792
0.0000 -2.9682 6.5792
Rb Na Au
1 2 1
Direct
0.0000 0.0000 0.0000
0.2032 0.2032 0.2032
0.7968 0.7968 0.7968
0.5000 0.5000 0.5000
```

---

## SiP2IrPt (GGA-PBE)

Data for SiP2IrPt after structural relaxation.

* volume: 19.3 Å³/atom
* total moment: 0.0000 μB/atom
* calculated total energy: -25.56 eV/f.u.
* formation energy from raw total energies: 1.12 eV/atom
* SG: P4/mmm

Structure (POSCAR):
```
SiP2IrPt
1.0
4.6014 0.0000 0.0000
0.0000 4.6014 0.0000
0.0000 0.0000 4.5608
Si P Ir Pt
1 2 1 1
Direct
0.0000 0.0000 0.0000
0.0000 0.5000 0.5000
0.5000 0.0000 0.5000
0.5000 0.5000 0.0000
0.0000 0.0000 0.5000
```

---

## CaFePt2 (GGA-PBE)

Data for CaFePt2 after structural relaxation.

* energy of formation from the pure elements: -0.2807 eV/atom
* volume: 17.4 Å³/atom
* total moment: 0.8520 μB/atom
* calculated total energy: -23.67 eV/f.u.
* SG: Cm

Structure (POSCAR):
```
CaFePt2
1.0
5.0595 -1.4363 0.0000
5.0595 1.4363 0.0000
-1.0922 0.0000 4.7752
Ca Fe Pt
1 1 2
Direct
0.0000 0.0000 0.0000
0.2155 0.2155 0.6447
0.4855 0.4855 0.5021
0.7551 0.7551 0.1838
```

---

## GdScN2 (GGA-PBE)

Data for GdScN2 after structural relaxation.

* volume: 13.5 Å³/atom
* total moment: 1.7499 μB/atom
* calculated total energy: -43.78 eV/f.u.
* formation energy from raw total energies: -1.68 eV/atom
* SG: R-3m

Structure (POSCAR):
```
GdScN2
1.0
1.6821 0.9711 5.5010
-1.6821 0.9711 5.5010
0.0000 -1.9423 5.5010
Gd Sc N
1 1 2
Direct
0.0000 0.0000 0.0000
0.5000 0.5000 0.5000
0.2441 0.2441 0.2441
0.7559 0.7559 0.7559
```

---

## ScMn2GaC (GGA-PBE)

Data for ScMn2GaC after structural relaxation.

* energy of formation from the pure elements: -0.1986 eV/atom
* volume: 13.2 Å³/atom
* total moment: 0.5917 μB/atom
* calculated total energy: -37.91 eV/f.u.
* SG: P4/mmm

Structure (POSCAR):
```
ScMn2GaC
1.0
3.8734 0.0000 0.0000
0.0000 3.8734 0.0000
0.0000 0.0000 4.4084
Sc Mn Ga C
1 2 1 1
Direct
0.0000 0.0000 0.0000
0.0000 0.5000 0.5000
0.5000 0.0000 0.5000
0.5000 0.5000 0.0000
0.0000 0.0000 0.5000
```

---

## Ge2PbAuS6 (GGA-PBE)

Data for Ge2PbAuS6 after structural relaxation.

* volume: 26.2 Å³/atom
* total moment: 0.0000 μB/atom
* calculated total energy: -43.13 eV/f.u.
* formation energy from raw total energies: -0.21 eV/atom
* SG: C2/c

Structure (POSCAR):
```
Ge2PbAuS6
1.0
6.4633 -6.5280 0.0000
6.4633 6.5280 0.0000
-2.1452 0.0000 6.1999
Ge Pb Au S
4 2 2 12
Direct
0.1442 0.2699 0.2005
0.2699 0.1442 0.7005
0.7301 0.8558 0.2995
0.8558 0.7301 0.7995
0.3874 0.6126 0.7500
0.6126 0.3874 0.2500
0.2019 0.7981 0.2500
0.7981 0.2019 0.7500
0.0673 0.2028 0.4731
0.0725 0.6322 0.9418
0.2028 0.0673 0.9731
0.3205 0.4540 0.2946
0.3678 0.9275 0.5582
0.4540 0.3205 0.7946
0.5460 0.6795 0.2054
0.6322 0.0725 0.4418
0.6795 0.5460 0.7054
0.7972 0.9327 0.0269
0.9275 0.3678 0.0582
0.9327 0.7972 0.5269
```

---

## Pa4TcPt (GGA-PBE)

Data for Pa4TcPt after structural relaxation.

* energy of formation from the pure elements: -0.3870 eV/atom
* volume: 22.6 Å³/atom
* total moment: 0.0000 μB/atom
* calculated total energy: -56.71 eV/f.u.
* SG: P4/mcc

Structure (POSCAR):
```
Pa4TcPt
1.0
6.8863 0.0000 0.0000
0.0000 6.8863 0.0000
0.0000 0.0000 5.7078
Pa Tc Pt
8 2 2
Direct
0.1435 0.3413 0.0000
0.1435 0.6587 0.5000
0.3413 0.1435 0.5000
0.3413 0.8565 0.0000
0.6587 0.1435 0.0000
0.6587 0.8565 0.5000
0.8565 0.3413 0.5000
0.8565 0.6587 0.0000
0.0000 0.0000 0.2500
0.0000 0.0000 0.7500
0.5000 0.5000 0.2500
0.5000 0.5000 0.7500
```

---

## InPd2Pb2 (GGA-PBE)

Data for InPd2Pb2 after structural relaxation.

* energy of formation from the pure elements: -0.2133 eV/atom
* volume: 22.7 Å³/atom
* relative energy among the computed polymorphs: 0 meV/atom
* total moment: 0.0000 μB/atom
* calculated total energy: -21.61 eV/f.u.
* SG: P4/mbm

Structure (POSCAR):
```
InPd2Pb2
1.0
7.3975 0.0000 0.0000
0.0000 7.3975 0.0000
0.0000 0.0000 4.1436
In Pd Pb
2 4 4
Direct
0.0000 0.0000 0.0000
0.5000 0.5000 0.0000
0.1404 0.3596 0.0000
0.3596 0.8596 0.0000
0.6404 0.1404 0.0000
0.8596 0.6404 0.0000
0.1612 0.6612 0.5000
0.3388 0.1612 0.5000
0.6612 0.8388 0.5000
0.8388 0.3388 0.5000
```

---

## LiNpTlO6 (GGA-PBE)

Data for LiNpTlO6 after structural relaxation.

* volume: 13.2 Å³/atom
* total moment: 0.0000 μB/atom
* calculated total energy: -61.84 eV/f.u.
* formation energy from raw total energies: -1.65 eV/atom
* SG: P-31c

Structure (POSCAR):
```
LiNpTlO6
1.0
5.3587 0.0000 0.0000
-2.6793 4.6407 0.0000
0.0000 0.0000 9.5778
Li Np Tl O
2 2 2 12
Direct
0.3333 0.6667 0.2500
0.6667 0.3333 0.7500
0.3333 0.6667 0.7500
0.6667 0.3333 0.2500
0.0000 0.0000 0.0000
0.0000 0.0000 0.5000
0.0174 0.3577 0.6365
0.0174 0.6597 0.8635
0.3403 0.3577 0.8635
0.3403 0.9826 0.6365
0.3577 0.0174 0.1365
0.3577 0.3403 0.3635
0.6423 0.6597 0.6365
0.6423 0.9826 0.8635
0.6597 0.0174 0.3635
0.6597 0.6423 0.1365
0.9826 0.3403 0.1365
0.9826 0.6423 0.3635
```

---

## HoEr2Zr (GGA-PBE)

Data for HoEr2Zr after structural relaxation.

* energy of formation from the pure elements: 0.0826 eV/atom
* volume: 28.2 Å³/atom
* relative energy among the computed polymorphs: 29 meV/atom
* total moment: 0.0001 μB/atom
* calculated total energy: -21.92 eV/f.u.
* SG: P4/mmm

Structure (POSCAR):
```
HoEr2Zr
1.0
4.8288 0.0000 0.0000
0.0000 4.8288 0.0000
0.0000 0.0000 4.8335
Ho Er Zr
1 2 1
Direct
0.0000 0.0000 0.0000
0.0000 0.5000 0.5000
0.5000 0.0000 0.5000
0.5000 0.5000 0.0000
```

---

## DyErSc4 (GGA-PBE)

Data for DyErSc4 after structural relaxation.

* energy of formation from the pure elements: 0.2272 eV/atom
* volume: 28.7 Å³/atom
* relative energy among the computed polymorphs: 193 meV/atom
* total moment: 0.9799 μB/atom
* calculated total energy: -33.13 eV/f.u.
* SG: F-43m

Structure (POSCAR):
```
DyErSc4
1.0
0.0000 4.4146 4.4146
4.4146 0.0000 4.4146
4.4146 4.4146 0.0000
Dy Er Sc
1 1 4
Direct
0.0000 0.0000 0.0000
0.7500 0.7500 0.7500
0.3750 0.3750 0.3750
0.3750 0.3750 0.8751
0.3750 0.8751 0.3750
0.8751 0.3750 0.3750
```

---

## ZnTc2C (GGA-PBE)

Data for ZnTc2C after structural relaxation.

* energy of formation from the pure elements: 1.0722 eV/atom
* volume: 12.0 Å³/atom
* relative energy among the computed polymorphs: 933 meV/atom
* total moment: 0.0000 μB/atom
* calculated total energy: -26.94 eV/f.u.
* SG: Fm-3m

Structure (POSCAR):
```
ZnTc2C
1.0
0.0000 2.8838 2.8838
2.8838 0.0000 2.8838
2.8838 2.8838 0.0000
Zn Tc C
1 2 1
Direct
0.0000 0.0000 0.0000
0.2500 0.2500 0.2500
0.7500 0.7500 0.7500
0.5000 0.5000 0.5000
```

---

## Ir3Ru2 (GGA-PBE)

Data for Ir3Ru2 after structural relaxation.

* energy of formation from the pure elements: 0.6241 eV/atom
* volume: 16.1 Å³/atom
* relative energy among the computed polymorphs: 648 meV/atom
* total moment: 0.0000 μB/atom
* calculated total energy: -42.01 eV/f.u.
* SG: P-3m1

Structure (POSCAR):
```
Ir3Ru2
1.0
4.2135 0.0000 0.0000
-2.1068 3.6490 0.0000
0.0000 0.0000 5.2442
Ir Ru
3 2
Direct
0.0000 0.0000 0.0000
0.3333 0.6667 0.3756
0.6667 0.3333 0.6244
0.3333 0.6667 0.8682
0.6667 0.3333 0.1318
```

---

## TcPbW (GGA-PBE)

Data for TcPbW after structural relaxation.

* energy of formation from the pure elements: 0.5215 eV/atom
* volume: 19.6 Å³/atom
* relative energy among the computed polymorphs: 0 meV/atom
* total moment: 0.0000 μB/atom
* calculated total energy: -25.46 eV/f.u.
* SG: Cm

Structure (POSCAR):
```
TcPbW
1.0
6.0672 -1.5443 0.0000
6.0672 1.5443 0.0000
-0.0527 0.0000 3.1387
Tc Pb W
1 1 1
Direct
0.0000 0.0000 0.0000
0.3243 0.3243 0.4709
0.6130 0.6130 0.5040
```

---

## PmHoIr (GGA-PBE)

Data for PmHoIr after structural relaxation.

* energy of formation from the pure elements: -0.5113 eV/atom
* volume: 26.5 Å³/atom
* relative energy among the computed polymorphs: 116 meV/atom
* total moment: 0.0000 μB/atom
* calculated total energy: -19.72 eV/f.u.
* SG: I4mm

Structure (POSCAR):
```
PmHoIr
1.0
-1.7547 1.7547 6.4559
1.7547 -1.7547 6.4559
1.7547 1.7547 -6.4559
Pm Ho Ir
1 1 1
Direct
0.0000 0.0000 0.0000
0.7467 0.7467 0.0000
0.3665 0.3665 0.0000
```

---

## CeMg4Ni2 (GGA-PBE)

Data for CeMg4Ni2 after structural relaxation.

* energy of formation from the pure elements: -0.1102 eV/atom
* volume: 20.0 Å³/atom
* total moment: 0.1148 μB/atom
* calculated total energy: -24.65 eV/f.u.
* SG: Cmmm

Structure (POSCAR):
```
CeMg4Ni2
1.0
2.0782 -8.1545 0.0000
2.0782 8.1545 0.0000
0.0000 0.0000 4.1236
Ce Mg Ni
1 4 2
Direct
0.0000 0.0000 0.0000
0.1731 0.8269 0.5000
0.3260 0.6740 0.0000
0.6740 0.3260 0.0000
0.8269 0.1731 0.5000
0.4284 0.5716 0.5000
0.5716 0.4284 0.5000
```

---

## Sr2Ga3AgSn4 (GGA-PBE)

Data for Sr2Ga3AgSn4 after structural relaxation.

* energy of formation from the pure elements: -0.3155 eV/atom
* volume: 26.8 Å³/atom
* total moment: 0.0000 μB/atom
* calculated total energy: -34.46 eV/f.u.
* SG: P-4m2

Structure (POSCAR):
```
Sr2Ga3AgSn4
1.0
4.9426 0.0000 0.0000
0.0000 4.9426 0.0000
0.0000 0.0000 10.9713
Sr Ga Ag Sn
2 3 1 4
Direct
0.0000 0.5000 0.2382
0.5000 0.0000 0.7618
0.0000 0.0000 0.0000
0.0000 0.5000 0.6271
0.5000 0.0000 0.3729
0.5000 0.5000 0.0000
0.0000 0.0000 0.5000
0.0000 0.5000 0.8712
0.5000 0.0000 0.1288
0.5000 0.5000 0.5000
```

---

## Sr7Sn2Sb2 (GGA-PBE)

Data for Sr7Sn2Sb2 after structural relaxation.

* volume: 44.6 Å³/atom
* total moment: 0.0000 μB/atom
* calculated total energy: -35.00 eV/f.u.
* formation energy from raw total energies: -0.63 eV/atom
* SG: Cmmm

Structure (POSCAR):
```
Sr7Sn2Sb2
1.0
5.2840 -5.8900 0.0000
5.2840 5.8900 0.0000
0.0000 0.0000 7.8890
Sr Sn Sb
7 2 2
Direct
0.0000 0.0000 0.0000
0.0000 0.5000 0.2634
0.0000 0.5000 0.7366
0.5000 0.0000 0.2634
0.5000 0.0000 0.7366
0.5000 0.5000 0.2605
0.5000 0.5000 0.7395
0.2332 0.2332 0.5000
0.7668 0.7668 0.5000
0.2755 0.7245 0.0000
0.7245 0.2755 0.0000
```